LaDy5Au4 | PBE | optimized geometry

Lattice parameters (Å, degrees): 3.5767 3.5767 19.9559 90.00 90.00 90.00
Closest atoms and distances in Å follow each position.
Positions (direct):
Au1 0.0000 0.0000 0.2230  8 Dy 3.06-3.14
Au2 0.0000 0.0000 0.4084  8 Dy 3.12
Au3 0.0000 0.0000 0.5916  8 Dy 3.12
Au4 0.0000 0.0000 0.7770  8 Dy 3.06-3.14
Dy1 0.5000 0.5000 0.5000  8 Au 3.12
Dy2 0.5000 0.5000 0.8635  4 Au 3.06
Dy3 0.5000 0.5000 0.3166  8 Au 3.12-3.14
Dy4 0.5000 0.5000 0.6834  8 Au 3.12-3.14
Dy5 0.5000 0.5000 0.1365  4 Au 3.06
La1 0.0000 0.0000 0.0000  4 La 3.58, 8 Dy 3.72

Calculated formation energy, eV per atom: -0.687
Total DFT energy (no corrections), eV per atom: -4.79
N(E_F), states/eV/atom: 0.635
Space-group type: P4/mmm, No. 123

SbMoAu3 | PBE | optimized geometry

Lattice parameters (Å, degrees): 5.0421 5.0421 5.0421 90.00 90.00 90.00
Closest atoms and distances in Å follow each position.
Positions (direct):
Au1 0.5000 0.0000 0.0000  2 Mo 2.52
Au2 0.0000 0.0000 0.5000  2 Mo 2.52
Au3 0.0000 0.5000 0.0000  2 Mo 2.52
Mo1 0.0000 0.0000 0.0000  6 Au 2.52
Sb1 0.5000 0.5000 0.5000  12 Au 3.57

Total DFT energy (no corrections), eV per atom: -3.84
N(E_F), states/eV/atom: 1.129
Space-group type: Pm-3m, No. 221
Energy relative to the elements, uncorrected, eV/atom: 1.115

Ga2FeBr2 | PBE | optimized geometry

Lattice parameters (Å, degrees): 3.5736 3.5736 8.9157 78.44 78.44 90.00
Closest atoms and distances in Å follow each position.
Positions (direct):
Ga1 0.2500 0.7500 0.5000  4 Ga 2.53
Ga2 0.7500 0.2500 0.5000  4 Ga 2.53
Fe1 0.0000 0.0000 0.0000  8 Br 2.98
Br1 0.5926 0.5926 0.8149  4 Fe 2.98, 1 Br 3.17, 4 Ga 3.23
Br2 0.4074 0.4074 0.1851  4 Fe 2.98, 1 Br 3.17, 4 Ga 3.23

Total DFT energy (no corrections), eV per atom: -3.38
N(E_F), states/eV/atom: 0.541
Space-group type: I4/mmm, No. 139
Energy relative to the elements, uncorrected, eV/atom: 0.188
Energy above the lowest structure with this stoichiometry, eV/atom: 0.018

TaTiHPt2 | PBE | optimized geometry

Lattice parameters (Å, degrees): 3.9477 4.2713 3.9477 90.00 90.00 90.00
Closest atoms and distances in Å follow each position.
Positions (direct):
Pt1 0.0000 0.0000 0.5000  2 H 1.97
Pt2 0.5000 0.0000 0.0000  2 H 1.97
H1 0.0000 0.0000 0.0000  4 Pt 1.97, 2 Ta 2.14
Ti1 0.5000 0.5000 0.5000  4 Ta 2.79, 8 Pt 2.91
Ta1 0.0000 0.5000 0.0000  2 H 2.14

Total DFT energy (no corrections), eV per atom: -7.44
N(E_F), states/eV/atom: 0.661
Space-group type: P4/mmm, No. 123

Please write out number 3 again, unchanged.
Ga2FeBr2 | PBE | optimized geometry

Lattice parameters (Å, degrees): 3.5736 3.5736 8.9157 78.44 78.44 90.00
Closest atoms and distances in Å follow each position.
Positions (direct):
Ga1 0.2500 0.7500 0.5000  4 Ga 2.53
Ga2 0.7500 0.2500 0.5000  4 Ga 2.53
Fe1 0.0000 0.0000 0.0000  8 Br 2.98
Br1 0.5926 0.5926 0.8149  4 Fe 2.98, 1 Br 3.17, 4 Ga 3.23
Br2 0.4074 0.4074 0.1851  4 Fe 2.98, 1 Br 3.17, 4 Ga 3.23

Total DFT energy (no corrections), eV per atom: -3.38
N(E_F), states/eV/atom: 0.541
Space-group type: I4/mmm, No. 139
Energy relative to the elements, uncorrected, eV/atom: 0.188
Energy above the lowest structure with this stoichiometry, eV/atom: 0.018

Question: Which of these has the lowest total DFT energy (no corrections)?
Answer: TaTiHPt2